No. 1
Density functional theory data (GGA-PBE) for a geometry-optimized PmTlAu4 structure. Values from VASP.

Raw total energy, eV/atom: -3.769
SG: F-43m, No. 216
Energy relative to the elements, kcal/mol of atoms: -9.17

Quantum ESPRESSO input file:
```
&SYSTEM
  ibrav = 0, nat = 6, ntyp = 3
/
ATOMIC_SPECIES
Tl 204.38 Tl.upf
Au 196.97 Au.upf
Pm 145.00 Pm.upf
ATOMIC_POSITIONS angstrom
Tl 1.751 -2.386 1.837
Au 2.044 -5.482 3.040
Au 3.094 -3.430 4.705
Au 4.378 -5.965 4.592
Au 4.494 -4.210 2.357
Pm 0.000 0.000 0.000
CELL_PARAMETERS angstrom
-0.232 -3.509 4.471
2.569 -5.070 -0.228
4.668 -0.965 3.104
```



No. 2
Density functional theory data (GGA-PBE) for a geometry-optimized PmYTlAu structure. Values from VASP.

E above lowest polymorph, kJ/mol of formula units: 19
Raw total energy, eV/atom: -4.774
SG: F-43m, No. 216
Energy relative to the elements, kcal/mol of atoms: -12.89

Quantum ESPRESSO input file:
```
&SYSTEM
  ibrav = 0, nat = 4, ntyp = 4
/
ATOMIC_SPECIES
Y 88.91 Y.upf
Tl 204.38 Tl.upf
Au 196.97 Au.upf
Pm 145.00 Pm.upf
ATOMIC_POSITIONS angstrom
Y 7.970 4.601 3.254
Tl 5.313 3.068 2.169
Au 0.000 0.000 0.000
Pm 2.657 1.534 1.085
CELL_PARAMETERS angstrom
5.313 0.000 0.000
2.657 4.601 0.000
2.657 1.534 4.338
```



No. 3
Density functional theory data (GGA-PBE) for a geometry-optimized PmYTlAu structure. Values from VASP.

E above lowest polymorph, kJ/mol of formula units: 0
Raw total energy, eV/atom: -4.823
SG: P4mm, No. 99
Energy relative to the elements, kcal/mol of atoms: -14.02

Quantum ESPRESSO input file:
```
&SYSTEM
  ibrav = 0, nat = 4, ntyp = 4
/
ATOMIC_SPECIES
Pm 145.00 Pm.upf
Y 88.91 Y.upf
Tl 204.38 Tl.upf
Au 196.97 Au.upf
ATOMIC_POSITIONS angstrom
Pm -1.661 -2.136 0.570
Y 0.292 -5.046 1.439
Tl 3.594 -5.352 1.597
Au 1.584 -2.359 0.704
CELL_PARAMETERS angstrom
-2.235 -0.655 2.834
-2.127 -2.071 -2.155
4.238 -6.311 1.884
```



No. 4
Density functional theory data (GGA-PBE) for a geometry-optimized PmZrTlAu structure. Values from VASP.

Raw total energy, eV/atom: -5.033
SG: F-43m, No. 216
Energy relative to the elements, kcal/mol of atoms: -6.85

Quantum ESPRESSO input file:
```
&SYSTEM
  ibrav = 0, nat = 4, ntyp = 4
/
ATOMIC_SPECIES
Tl 204.38 Tl.upf
Au 196.97 Au.upf
Zr 91.22 Zr.upf
Pm 145.00 Pm.upf
ATOMIC_POSITIONS angstrom
Tl 5.176 2.988 2.113
Au 0.000 0.000 0.000
Zr 2.588 1.494 1.057
Pm 7.764 4.483 3.170
CELL_PARAMETERS angstrom
5.176 0.000 0.000
2.588 4.483 0.000
2.588 1.494 4.226
```



No. 5
Density functional theory data (GGA-PBE) for a geometry-optimized PmTmAu6 structure. Values from VASP.

Raw total energy, eV/atom: -4.268
SG: C2/m, No. 12
Energy relative to the elements, kcal/mol of atoms: -15.16

Quantum ESPRESSO input file:
```
&SYSTEM
  ibrav = 0, nat = 8, ntyp = 3
/
ATOMIC_SPECIES
Pm 145.00 Pm.upf
Tm 168.93 Tm.upf
Au 196.97 Au.upf
ATOMIC_POSITIONS angstrom
Pm -0.946 3.618 3.521
Tm 0.000 0.000 0.000
Au -2.850 5.654 4.748
Au -0.496 6.826 3.276
Au -2.013 1.925 1.148
Au -3.988 3.927 2.422
Au -1.634 5.099 0.950
Au -2.471 8.827 4.550
CELL_PARAMETERS angstrom
-2.591 3.518 -1.344
-4.350 0.749 2.575
2.457 6.486 4.467
```



No. 6
Density functional theory data (GGA-PBE) for a geometry-optimized PmTm2Au4 structure. Values from VASP.

Raw total energy, eV/atom: -4.525
SG: Cmmm, No. 65
Energy relative to the elements, kcal/mol of atoms: -16.04

Quantum ESPRESSO input file:
```
&SYSTEM
  ibrav = 0, nat = 7, ntyp = 3
/
ATOMIC_SPECIES
Pm 145.00 Pm.upf
Tm 168.93 Tm.upf
Au 196.97 Au.upf
ATOMIC_POSITIONS angstrom
Pm 2.507 3.034 1.881
Tm 0.000 4.493 -0.472
Tm 0.000 1.576 4.234
Au 0.000 4.365 2.706
Au 0.000 1.704 1.056
Au 2.507 0.222 3.030
Au 2.507 2.813 -1.149
CELL_PARAMETERS angstrom
5.013 0.000 0.000
0.000 5.625 -2.299
0.000 0.444 6.061
```



No. 7
Density functional theory data (GGA-PBE) for a geometry-optimized PmTmAu structure. Values from VASP.

E above lowest polymorph, kJ/mol of formula units: 42
Raw total energy, eV/atom: -4.591
SG: F-43m, No. 216
Energy relative to the elements, kcal/mol of atoms: -9.79

Quantum ESPRESSO input file:
```
&SYSTEM
  ibrav = 0, nat = 3, ntyp = 3
/
ATOMIC_SPECIES
Tm 168.93 Tm.upf
Au 196.97 Au.upf
Pm 145.00 Pm.upf
ATOMIC_POSITIONS angstrom
Tm 0.000 0.000 0.000
Au -2.850 -1.100 0.266
Pm -5.701 -2.201 0.532
CELL_PARAMETERS angstrom
-3.309 -3.272 -1.850
-3.226 -2.302 3.063
-4.867 1.173 -0.149
```



No. 8
Density functional theory data (GGA-PBE) for a geometry-optimized PmTm5Au4 structure. Values from VASP.

Raw total energy, eV/atom: -4.728
SG: P4/mmm, No. 123
Energy relative to the elements, kcal/mol of atoms: -16.27

Quantum ESPRESSO input file:
```
&SYSTEM
  ibrav = 0, nat = 10, ntyp = 3
/
ATOMIC_SPECIES
Pm 145.00 Pm.upf
Tm 168.93 Tm.upf
Au 196.97 Au.upf
ATOMIC_POSITIONS angstrom
Pm 0.000 0.000 0.000
Tm -3.325 -1.315 0.526
Tm -6.502 0.006 1.443
Tm -9.723 1.345 2.374
Tm -12.945 2.685 3.304
Tm -16.122 4.005 4.221
Au -3.864 1.607 1.116
Au -7.123 2.961 2.057
Au -10.339 4.298 2.986
Au -13.597 5.653 3.927
CELL_PARAMETERS angstrom
-1.526 -1.897 -2.554
-0.459 -2.672 2.259
-17.462 7.260 5.043
```



No. 9
Density functional theory data (GGA-PBE) for a geometry-optimized Pm2TmAu structure. Values from VASP.

E above lowest polymorph, kJ/mol of formula units: 189
Raw total energy, eV/atom: -4.170
SG: R-3m, No. 166
Energy relative to the elements, kcal/mol of atoms: 3.29

Quantum ESPRESSO input file:
```
&SYSTEM
  ibrav = 0, nat = 4, ntyp = 3
/
ATOMIC_SPECIES
Tm 168.93 Tm.upf
Au 196.97 Au.upf
Pm 145.00 Pm.upf
ATOMIC_POSITIONS angstrom
Tm 3.540 2.044 5.747
Au 0.000 0.000 0.000
Pm 1.770 1.022 8.619
Pm 5.309 3.065 2.876
CELL_PARAMETERS angstrom
3.540 0.000 0.000
1.770 3.065 0.000
1.770 1.022 11.495
```



No. 10
Density functional theory data (GGA-PBE) for a geometry-optimized PmTmAu structure. Values from VASP.

E above lowest polymorph, kJ/mol of formula units: 11
Raw total energy, eV/atom: -4.697
SG: I4mm, No. 107
Energy relative to the elements, kcal/mol of atoms: -12.24

Quantum ESPRESSO input file:
```
&SYSTEM
  ibrav = 0, nat = 3, ntyp = 3
/
ATOMIC_SPECIES
Tm 168.93 Tm.upf
Au 196.97 Au.upf
Pm 145.00 Pm.upf
ATOMIC_POSITIONS angstrom
Tm -2.908 1.205 2.284
Au -5.724 1.385 1.277
Pm -2.583 0.084 -1.189
CELL_PARAMETERS angstrom
-1.224 2.100 -2.666
-2.059 -2.712 -1.191
-3.024 2.240 5.593
```



No. 11
Density functional theory data (GGA-PBE) for a geometry-optimized Pm2Tm3Au4 structure. Values from VASP.

Raw total energy, eV/atom: -4.700
SG: Cmce, No. 64
Energy relative to the elements, kcal/mol of atoms: -16.07

Quantum ESPRESSO input file:
```
&SYSTEM
  ibrav = 0, nat = 18, ntyp = 3
/
ATOMIC_SPECIES
Pm 145.00 Pm.upf
Tm 168.93 Tm.upf
Au 196.97 Au.upf
ATOMIC_POSITIONS angstrom
Pm 3.302 -3.305 0.502
Pm 2.198 -4.534 6.841
Pm 3.123 -0.366 6.382
Pm 2.378 -7.472 0.962
Tm 0.000 0.000 0.000
Tm -0.165 -5.124 0.157
Tm 3.987 -5.342 3.464
Tm -0.919 -4.767 4.940
Tm 1.514 -2.497 3.879
Tm 6.420 -3.071 2.404
Au 5.136 -5.295 6.199
Au -2.068 -4.814 2.204
Au 0.365 -2.544 1.144
Au 7.569 -3.024 5.139
Au 5.543 -5.482 0.982
Au -0.042 -2.357 6.362
Au 4.377 -2.584 4.511
Au 1.124 -5.255 2.833
CELL_PARAMETERS angstrom
-4.866 -4.541 2.121
4.537 -5.706 -1.807
5.830 2.409 7.030
```



No. 12
Density functional theory data (GGA-PBE) for a geometry-optimized PmTm2Au structure. Values from VASP.

E above lowest polymorph, kJ/mol of formula units: 46
Raw total energy, eV/atom: -4.547
SG: R3m, No. 160
Energy relative to the elements, kcal/mol of atoms: -7.02

Quantum ESPRESSO input file:
```
&SYSTEM
  ibrav = 0, nat = 4, ntyp = 3
/
ATOMIC_SPECIES
Pm 145.00 Pm.upf
Tm 168.93 Tm.upf
Au 196.97 Au.upf
ATOMIC_POSITIONS angstrom
Pm 3.729 2.153 4.843
Tm 1.865 1.077 7.792
Tm 1.865 1.077 1.985
Au 3.729 2.153 0.026
CELL_PARAMETERS angstrom
3.729 0.000 0.000
1.865 3.230 0.000
1.865 1.077 9.764
```



Among the records above, which one has the lowest energy relative to the elements?
PmTm5Au4



Which of these has the highest energy relative to the elements?
Pm2TmAu